Record 1
DFT (GGA-PBE) results for crystalline CaLa2Sc at its relaxed geometry.

a = 7.032 Å, b = 7.032 Å, c = 7.032 Å
α = 148.32°, β = 130.10°, γ = 60.32°
Sites, in units of the cell vectors:
Sc (0.750, 0.250, 0.500)
La (0.529, 0.529, 0.000)
Ca (0.250, 0.750, 0.500)
La (0.971, 0.971, 0.000)

relative energy among the computed polymorphs	67	meV per atom
formation energy	0.136	eV/atom
calculated density	4.35	Mg/m³
DOS at the Fermi energy	1.35	states/eV/atom


Record 2
DFT (GGA-PBE) results for crystalline CaLa2Sc at its relaxed geometry.

a = 3.698 Å, b = 3.698 Å, c = 10.103 Å
α = 90.00°, β = 90.00°, γ = 90.00°
Sites, in units of the cell vectors:
Sc (0.000, 0.000, 0.486)
La (0.500, 0.500, 0.269)
Ca (0.500, 0.500, 0.727)
La (0.000, 0.000, 0.018)

relative energy among the computed polymorphs	32	meV per atom
formation energy	0.101	eV/atom
calculated density	4.36	Mg/m³
DOS at the Fermi energy	1.62	states/eV/atom


Record 3
DFT (GGA-PBE) results for crystalline CaLa2Sc at its relaxed geometry.

a = 5.171 Å, b = 3.623 Å, c = 8.152 Å
α = 63.64°, β = 90.00°, γ = 90.00°
Sites, in units of the cell vectors:
La (0.500, 0.247, 0.254)
Sc (0.000, 0.513, 0.487)
Ca (0.500, 0.760, 0.739)
La (0.000, 0.980, 0.021)

relative energy among the computed polymorphs	51	meV per atom
formation energy	0.120	eV/atom
calculated density	4.40	Mg/m³
DOS at the Fermi energy	1.69	states/eV/atom


Record 4
DFT (GGA-PBE) results for crystalline CaLa2Sc at its relaxed geometry.

a = 3.527 Å, b = 3.527 Å, c = 12.159 Å
α = 90.00°, β = 90.00°, γ = 114.99°
Sites, in units of the cell vectors:
Ca (0.500, 0.500, 0.733)
La (0.500, 0.500, 0.269)
La (0.000, 0.000, 0.003)
Sc (0.000, 0.000, 0.495)

relative energy among the computed polymorphs	98	meV per atom
formation energy	0.167	eV/atom
calculated density	4.40	Mg/m³
DOS at the Fermi energy	1.88	states/eV/atom


Record 5
DFT (GGA-PBE) results for crystalline CaLa2Sc at its relaxed geometry.

a = 4.056 Å, b = 5.839 Å, c = 5.839 Å
α = 90.00°, β = 90.00°, γ = 90.00°
Sites, in units of the cell vectors:
Ca (0.500, 0.000, 0.500)
Sc (0.500, 0.500, 0.000)
La (0.000, 0.500, 0.500)
La (0.000, 0.000, 0.000)

relative energy among the computed polymorphs	54	meV per atom
formation energy	0.123	eV/atom
calculated density	4.36	Mg/m³
DOS at the Fermi energy	1.50	states/eV/atom


Record 6
DFT (GGA-PBE) results for crystalline CaLa2Sc at its relaxed geometry.

a = 3.638 Å, b = 3.638 Å, c = 12.250 Å
α = 81.46°, β = 81.46°, γ = 60.00°
Sites, in units of the cell vectors:
Ca (0.499, 0.499, 0.502)
La (0.259, 0.259, 0.224)
La (0.075, 0.075, 0.774)
Sc (0.667, 0.667, 0.999)

relative energy among the computed polymorphs	14	meV per atom
formation energy	0.083	eV/atom
calculated density	4.36	Mg/m³
DOS at the Fermi energy	1.46	states/eV/atom


Record 7
DFT (GGA-PBE) results for crystalline CaLa2Sc at its relaxed geometry.

a = 12.207 Å, b = 12.207 Å, c = 12.207 Å
α = 17.13°, β = 17.13°, γ = 17.13°
Sites, in units of the cell vectors:
La (0.508, 0.508, 0.508)
La (0.992, 0.992, 0.992)
Ca (0.750, 0.750, 0.750)
Sc (0.250, 0.250, 0.250)

relative energy among the computed polymorphs	0	meV per atom
formation energy	0.069	eV/atom
calculated density	4.37	Mg/m³
DOS at the Fermi energy	1.16	states/eV/atom


Record 8
DFT (GGA-PBE) results for crystalline CaLa2Sc at its relaxed geometry.

a = 3.527 Å, b = 3.527 Å, c = 12.074 Å
α = 90.00°, β = 90.00°, γ = 112.30°
Sites, in units of the cell vectors:
La (0.000, 0.000, 0.026)
Ca (0.500, 0.500, 0.750)
La (0.000, 0.000, 0.474)
Sc (0.500, 0.500, 0.250)

relative energy among the computed polymorphs	63	meV per atom
formation energy	0.132	eV/atom
calculated density	4.34	Mg/m³
DOS at the Fermi energy	1.72	states/eV/atom


Record 9
DFT (GGA-PBE) results for crystalline CaLa2Sc at its relaxed geometry.

a = 6.356 Å, b = 6.356 Å, c = 6.289 Å
α = 78.94°, β = 78.94°, γ = 33.44°
Sites, in units of the cell vectors:
Ca (0.243, 0.243, 0.263)
La (0.757, 0.757, 0.755)
Sc (0.497, 0.497, 0.506)
La (0.004, 0.004, 0.975)

relative energy among the computed polymorphs	57	meV per atom
formation energy	0.126	eV/atom
calculated density	4.39	Mg/m³
DOS at the Fermi energy	1.73	states/eV/atom


Record 10
DFT (GGA-PBE) results for crystalline CaLa2Sc at its relaxed geometry.

a = 9.066 Å, b = 9.066 Å, c = 7.245 Å
α = 51.27°, β = 51.27°, γ = 90.00°
Sites, in units of the cell vectors:
La (0.102, 0.625, 0.250)
Ca (0.250, 0.750, 0.500)
Sc (0.750, 0.250, 0.500)
La (0.875, 0.898, 0.750)
Ca (0.500, 0.500, 0.000)
La (0.648, 0.125, 0.250)
La (0.375, 0.352, 0.750)
Sc (0.000, 0.000, 0.000)

relative energy among the computed polymorphs	340	meV per atom
formation energy	0.409	eV/atom
calculated density	4.34	Mg/m³
DOS at the Fermi energy	1.87	states/eV/atom


Record 11
DFT (GGA-PBE) results for crystalline CaLa2Sc at its relaxed geometry.

a = 3.898 Å, b = 5.867 Å, c = 5.996 Å
α = 90.00°, β = 90.00°, γ = 90.00°
Sites, in units of the cell vectors:
La (0.500, 0.500, 0.000)
Sc (0.500, 0.000, 0.500)
Ca (0.000, 0.500, 0.500)
La (0.000, 0.000, 0.000)

relative energy among the computed polymorphs	120	meV per atom
formation energy	0.189	eV/atom
calculated density	4.39	Mg/m³
DOS at the Fermi energy	1.87	states/eV/atom


Record 12
DFT (GGA-PBE) results for crystalline CaLa2ScSe4 at its relaxed geometry.

a = 4.146 Å, b = 7.208 Å, c = 7.283 Å
α = 109.01°, β = 90.00°, γ = 90.00°
Sites, in units of the cell vectors:
Se (0.500, 0.767, 0.776)
Se (0.000, 0.752, 0.230)
La (0.000, 0.500, 0.500)
Ca (0.500, 0.500, 0.000)
Se (0.000, 0.248, 0.770)
Sc (0.000, 0.000, 0.000)
La (0.500, 0.000, 0.500)
Se (0.500, 0.233, 0.224)

calculated density	5.48	Mg/m³
DOS at the Fermi energy	0.55	states/eV/atom
formation energy (no corrections)	-1.855	eV/atom